Here is crystalline LiHOs3 at its relaxed geometry from Alexandria. Energies are from PBE. Values from VASP.

Output
crystal system = cubic
N(E_F) = 1.127 states/eV per atom
excess energy over the best structure of this formula in the dataset = 0.000 eV/atom

Structure (Quantum ESPRESSO input):
```
&SYSTEM
  ibrav = 0, nat = 5, ntyp = 3
/
ATOMIC_SPECIES
H 1.01 H.upf
Os 190.23 Os.upf
Li 6.94 Li.upf
ATOMIC_POSITIONS angstrom
H 0.000 0.000 0.000
Os 0.000 0.000 1.937
Os 0.000 1.937 0.000
Os 1.937 0.000 0.000
Li 1.937 1.937 1.937
CELL_PARAMETERS angstrom
3.874 0.000 0.000
0.000 3.874 0.000
0.000 0.000 3.874
```